[1]
# KCuTcO4

A geometry-optimized KCuTcO4 structure (PBE, the Alexandria database).

Values from the calculation:
As for the density of states at the Fermi level: 23.7 states/eV per cell. The formation energy from raw total energies comes out at -1.21 eV/atom. Its total magnetic moment is 0.144 μB/atom.

The structure in CIF format:
```
data_KCuTcO4
_cell_length_a 8.615
_cell_length_b 8.615
_cell_length_c 8.615
_cell_angle_alpha 90.00
_cell_angle_beta 90.00
_cell_angle_gamma 90.00
_space_group_name_H-M_alt 'F -4 3 m'
_space_group_IT_number 216
_space_group_name_Hall 'F -4 2 3'
loop_
_atom_site_label
_atom_site_type_symbol
_atom_site_fract_x
_atom_site_fract_y
_atom_site_fract_z
K1 K 0.000 0.000 0.000
Cu1 Cu 0.250 0.250 0.750
Tc1 Tc 0.000 0.000 0.500
O1 O 0.121 0.121 0.621
```

[2]
# AlHgPb2

A geometry-optimized AlHgPb2 structure (PBE, the Alexandria database).

Values from the calculation:
As for the density of states at the Fermi level: 3.5 states/eV per cell. The calculation puts the total energy at -21.4 eV per cell. Its total magnetic moment is 0.000 μB/atom.

The structure in CIF format:
```
data_AlHgPb2
_cell_length_a 6.721
_cell_length_b 10.489
_cell_length_c 3.309
_cell_angle_alpha 90.00
_cell_angle_beta 111.06
_cell_angle_gamma 90.00
_space_group_name_H-M_alt 'C 1 2/m 1'
_space_group_IT_number 12
loop_
_space_group_symop_operation_xyz
'x,y,z'
'-x,-y,-z'
'-x,y,-z'
'x,-y,z'
'x+1/2,y+1/2,z'
'-x+1/2,-y+1/2,-z'
'-x+1/2,y+1/2,-z'
'x+1/2,-y+1/2,z'
loop_
_atom_site_label
_atom_site_type_symbol
_atom_site_fract_x
_atom_site_fract_y
_atom_site_fract_z
Al1 Al 0.000 0.000 0.000
Hg1 Hg 0.000 0.500 0.000
Pb1 Pb 0.250 0.250 0.500
```

[3]
# RbBaCa2Ir

A geometry-optimized RbBaCa2Ir structure (PBE, the Alexandria database).

Values from the calculation:
As for the density of states at the Fermi level: 4.3 states/eV per cell. The calculation puts the total energy at -16.1 eV per cell. Its total magnetic moment is 0.007 μB/atom.

The structure in CIF format:
```
data_RbBaCa2Ir
_cell_length_a 5.800
_cell_length_b 5.800
_cell_length_c 6.241
_cell_angle_alpha 90.00
_cell_angle_beta 90.00
_cell_angle_gamma 90.00
_space_group_name_H-M_alt 'P 4/m m m'
_space_group_IT_number 123
_space_group_name_Hall '-P 4 2'
loop_
_atom_site_label
_atom_site_type_symbol
_atom_site_fract_x
_atom_site_fract_y
_atom_site_fract_z
Rb1 Rb 0.000 0.000 0.000
Ba1 Ba 0.500 0.500 0.000
Ca1 Ca 0.000 0.500 0.500
Ir1 Ir 0.500 0.500 0.500
```

[4]
# BaPm2GeN4

A geometry-optimized BaPm2GeN4 structure (PBE, the Alexandria database).

Values from the calculation:
The formation energy from raw total energies comes out at -0.91 eV/atom. Its total magnetic moment is 0.000 μB/atom.

The structure in CIF format:
```
data_BaPm2GeN4
_cell_length_a 3.553
_cell_length_b 12.566
_cell_length_c 12.148
_cell_angle_alpha 90.00
_cell_angle_beta 90.00
_cell_angle_gamma 90.00
_space_group_name_H-M_alt 'C m c m'
_space_group_IT_number 63
_space_group_name_Hall '-C 2c 2'
loop_
_atom_site_label
_atom_site_type_symbol
_atom_site_fract_x
_atom_site_fract_y
_atom_site_fract_z
Ba1 Ba 0.000 0.089 0.250
Pm1 Pm 0.000 0.369 0.040
Ge1 Ge 0.000 0.183 0.750
N1 N 0.000 0.000 0.000
N2 N 0.000 0.260 0.621
N3 N 0.000 0.404 0.250
```

[5]
# ScCd7Pd4

A geometry-optimized ScCd7Pd4 structure (PBE, the Alexandria database).

Values from the calculation:
As for the density of states at the Fermi level: 12.6 states/eV per cell. The calculation puts the total energy at -69.8 eV per cell. Its total magnetic moment is 0.000 μB/atom.

The structure in CIF format:
```
data_ScCd7Pd4
_cell_length_a 12.387
_cell_length_b 5.082
_cell_length_c 9.797
_cell_angle_alpha 90.00
_cell_angle_beta 125.88
_cell_angle_gamma 90.00
_space_group_name_H-M_alt 'C 1 2/m 1'
_space_group_IT_number 12
loop_
_space_group_symop_operation_xyz
'x,y,z'
'-x,-y,-z'
'-x,y,-z'
'x,-y,z'
'x+1/2,y+1/2,z'
'-x+1/2,-y+1/2,-z'
'-x+1/2,y+1/2,-z'
'x+1/2,-y+1/2,z'
loop_
_atom_site_label
_atom_site_type_symbol
_atom_site_fract_x
_atom_site_fract_y
_atom_site_fract_z
Sc1 Sc 0.000 0.000 0.000
Cd1 Cd 0.000 0.500 0.000
Cd2 Cd 0.066 0.000 0.359
Cd3 Cd 0.168 0.500 0.599
Cd4 Cd 0.215 0.000 0.872
Pd1 Pd 0.074 0.500 0.786
Pd2 Pd 0.194 0.500 0.334
```

[6]
# LaCdSCl2

A geometry-optimized LaCdSCl2 structure (PBE, the Alexandria database).

Values from the calculation:
As for the density of states at the Fermi level: 6.2 states/eV per cell. The formation energy from raw total energies comes out at -0.96 eV/atom. Its total magnetic moment is 0.130 μB/atom.

The structure in CIF format:
```
data_LaCdSCl2
_cell_length_a 5.101
_cell_length_b 5.101
_cell_length_c 5.133
_cell_angle_alpha 90.00
_cell_angle_beta 90.00
_cell_angle_gamma 90.00
_space_group_name_H-M_alt 'P 4/m m m'
_space_group_IT_number 123
_space_group_name_Hall '-P 4 2'
loop_
_atom_site_label
_atom_site_type_symbol
_atom_site_fract_x
_atom_site_fract_y
_atom_site_fract_z
La1 La 0.000 0.000 0.000
Cd1 Cd 0.500 0.500 0.500
S1 S 0.500 0.500 0.000
Cl1 Cl 0.000 0.500 0.500
```

[7]
# Tl2InP

A geometry-optimized Tl2InP structure (PBE, the Alexandria database).

Values from the calculation:
As for the density of states at the Fermi level: 1.7 states/eV per cell. The calculation puts the total energy at -12.5 eV per cell. Its total magnetic moment is 0.000 μB/atom.

The structure in CIF format:
```
data_Tl2InP
_cell_length_a 3.670
_cell_length_b 3.723
_cell_length_c 7.858
_cell_angle_alpha 90.00
_cell_angle_beta 91.47
_cell_angle_gamma 90.00
_space_group_name_H-M_alt 'P 1 m 1'
_space_group_IT_number 6
loop_
_space_group_symop_operation_xyz
'x,y,z'
'x,-y,z'
loop_
_atom_site_label
_atom_site_type_symbol
_atom_site_fract_x
_atom_site_fract_y
_atom_site_fract_z
Tl1 Tl 0.000 0.000 0.000
Tl2 Tl 0.466 0.500 0.674
In1 In 0.520 0.500 0.273
P1 P 0.024 0.000 0.411
```

[8]
# Ba2Tl2Zn2Sn3O10

A geometry-optimized Ba2Tl2Zn2Sn3O10 structure (PBE, the Alexandria database).

Values from the calculation:
As for the density of states at the Fermi level: 4.2 states/eV per cell. The formation energy from raw total energies comes out at -1.42 eV/atom. Its total magnetic moment is 0.000 μB/atom.

The structure in CIF format:
```
data_Ba2Tl2Zn2Sn3O10
_cell_length_a 4.111
_cell_length_b 4.183
_cell_length_c 20.066
_cell_angle_alpha 91.99
_cell_angle_beta 95.68
_cell_angle_gamma 90.52
_space_group_name_H-M_alt 'P 1'
_space_group_IT_number 1
loop_
_space_group_symop_operation_xyz
'x,y,z'
loop_
_atom_site_label
_atom_site_type_symbol
_atom_site_fract_x
_atom_site_fract_y
_atom_site_fract_z
Ba1 Ba 0.000 0.000 0.000
Ba2 Ba 0.330 0.567 0.640
Tl1 Tl 0.435 0.668 0.869
Tl2 Tl 0.889 0.102 0.777
Zn1 Zn 0.123 0.599 0.252
Zn2 Zn 0.157 0.676 0.443
Sn1 Sn 0.587 0.074 0.178
Sn2 Sn 0.661 0.212 0.341
Sn3 Sn 0.781 0.047 0.529
O1 O 0.104 0.069 0.213
O2 O 0.175 0.475 0.352
O3 O 0.284 0.993 0.519
O4 O 0.383 0.418 0.762
O5 O 0.540 0.059 0.080
O6 O 0.604 0.583 0.213
O7 O 0.731 0.951 0.423
O8 O 0.825 0.059 0.630
O9 O 0.842 0.530 0.518
O10 O 0.960 0.471 0.926
```

Among the records above, which one has the highest total magnetic moment?
KCuTcO4